[1]
This record from Alexandria describes an optimized crystal structure of Tm3In2Pd6. The functional is PBE-GGA.

The calculation puts the raw total energy at -233.3 eV/cell. As for the total magnetization: 0.00 μB per cell.

The structure belongs to space group Im-3m (No. 229); the cell edges are 9.643, 9.643 and 9.643 Å and the angles 90.00°, 90.00° and 90.00°. The asymmetric unit holds Tm at (0.000, 0.000, 0.297), In at (0.250, 0.250, 0.250) and Pd at (0.000, 0.345, 0.345).


[2]
This record from Alexandria describes an optimized crystal structure of Li2TlI. The functional is PBE-GGA.

The value obtained for the energy relative to the elements, uncorrected is -0.486 eV/atom. The calculation puts the raw total energy at -29.1 eV/cell. The value obtained for the polymorph energy (0 for the lowest one) is 0.000 eV per atom. As for the total magnetization: 0.00 μB per cell.

The structure belongs to space group R-3m (No. 166, hexagonal axes); the cell edges are 3.8590, 3.8590 and 24.8856 Å and the angles 90.00°, 90.00° and 120.00°. The asymmetric unit holds Li at (0.0000, 0.0000, 0.2392), Tl at (0.0000, 0.0000, 0.0000) and I at (0.0000, 0.0000, 0.5000).